(1)
Material: YSi4As
Method: DFT, PBE
State: relaxed

* space-group type: F-43m, No. 216
* formation energy from raw total energies: -0.06 eV per atom
* DOS at the Fermi energy: 0.63 states/eV/atom
* total DFT energy (no corrections): -33.15 eV for the cell shown
* total moment: 0.00 μB per cell

a b c (Å): 5.235 5.235 5.235
angles (deg): 60.00 60.00 60.00
Fractional positions:
1 Si 0.876 0.375 0.375
2 Si 0.375 0.375 0.375
3 Si 0.375 0.876 0.375
4 Si 0.375 0.375 0.876
5 Y 0.750 0.750 0.750
6 As 0.000 0.000 0.000



(2)
Material: CeAl6Ga2
Method: DFT, PBE
State: relaxed

* space-group type: P4/mmm, No. 123
* DOS at the Fermi energy: 0.86 states/eV/atom
* total DFT energy (no corrections): -36.31 eV for the cell shown
* total moment: 0.50 μB per cell

a b c (Å): 4.123 4.123 9.680
angles (deg): 90.00 90.00 90.00
Each line ends with the local moment (μB).
Fractional positions:
1 Al 0.500 0.000 0.706  0.00
2 Al 0.500 0.500 0.500  0.00
3 Al 0.000 0.000 0.500  0.00
4 Al 0.000 0.500 0.706  0.00
5 Al 0.500 0.000 0.294  0.00
6 Al 0.000 0.500 0.294  0.00
7 Ga 0.500 0.500 0.126  0.00
8 Ga 0.500 0.500 0.874  0.00
9 Ce 0.000 0.000 0.000  0.45



(3)
Material: PaIn2Cu
Method: DFT, PBE
State: relaxed

* space-group type: P4/mmm, No. 123
* DOS at the Fermi energy: 1.06 states/eV/atom
* polymorph energy (0 for the lowest one): 0.00 eV/f.u.
* total DFT energy (no corrections): -18.93 eV for the cell shown
* total moment: 0.53 μB per cell

a b c (Å): 3.135 3.135 8.556
angles (deg): 90.00 90.00 90.00
Each line ends with the local moment (μB).
Fractional positions:
1 In 0.000 0.000 0.793  0.00
2 In 0.000 0.000 0.207  0.00
3 Pa 0.500 0.500 0.500  0.47
4 Cu 0.500 0.500 0.000  0.00



(4)
Material: Ce7Tc2Pt2
Method: DFT, PBE
State: relaxed

* space-group type: Imm2, No. 44
* DOS at the Fermi energy: 2.53 states/eV/atom
* total DFT energy (no corrections): -78.62 eV for the cell shown
* total moment: 2.61 μB per cell

a b c (Å): 3.867 8.967 8.967
angles (deg): 64.72 77.55 77.55
Each line ends with the local moment (μB).
Fractional positions:
1 Ce 0.621 0.498 0.261  0.44
2 Ce 0.500 0.012 0.988  0.66
3 Ce 0.869 0.390 0.871  0.19
4 Ce 0.801 0.087 0.311  0.17
5 Ce 0.131 0.129 0.610  0.19
6 Ce 0.199 0.689 0.913  0.17
7 Ce 0.379 0.739 0.502  0.44
8 Pt 0.000 0.785 0.215  -0.01
9 Pt 0.500 0.370 0.630  -0.01
10 Tc 0.281 0.297 0.141  -0.06
11 Tc 0.719 0.859 0.703  -0.06



Q: Which of these has the highest DOS at the Fermi energy?
A: Ce7Tc2Pt2